This record from Alexandria describes crystalline Ac2PuBeO6 at its relaxed geometry. The functional is PBE-GGA.

## Properties
For the spin magnetization, the calculation gives 8.00 μB per cell. The formation energy (no corrections) is -2906 meV per atom.

a b c (Å): 5.899 7.552 6.435
angles (deg): 90.00 90.00 90.00
Element x y z (fractional)
Ac 0.250 0.010 0.175
Ac 0.250 0.490 0.175
Ac 0.750 0.510 0.825
Ac 0.750 0.990 0.825
Pu 0.250 0.250 0.687
Pu 0.750 0.750 0.313
Be 0.250 0.750 0.680
Be 0.750 0.250 0.320
O 0.005 0.250 0.944
O 0.007 0.750 0.550
O 0.250 0.539 0.786
O 0.250 0.961 0.786
O 0.493 0.750 0.550
O 0.495 0.250 0.944
O 0.505 0.750 0.056
O 0.507 0.250 0.450
O 0.750 0.039 0.214
O 0.750 0.461 0.214
O 0.993 0.250 0.450
O 0.995 0.750 0.056